The following is a DFT calculation (PBE-GGA) of crystalline PrTm6In4 at its relaxed geometry.

```
data_PrTm6In4
_chemical_formula_sum 'Pr1 Tm6 In4'
_cell_length_a 3.7126
_cell_length_b 9.9892
_cell_length_c 9.9892
_cell_angle_alpha 120.00
_cell_angle_beta 90.00
_cell_angle_gamma 90.00
_symmetry_space_group_name_H-M 'P 1'
_symmetry_Int_Tables_number 1
loop_
_symmetry_equiv_pos_as_xyz
'x,y,z'
loop_
_atom_site_label
_atom_site_type_symbol
_atom_site_fract_x
_atom_site_fract_y
_atom_site_fract_z
_atom_site_occupancy
Pr1 Pr 0.0000 0.0000 0.0000 1
Tm1 Tm 0.0000 0.5359 0.0718 1
Tm2 Tm 0.5000 0.6189 0.8094 1
Tm3 Tm 0.0000 0.5359 0.4641 1
Tm4 Tm 0.0000 0.9282 0.4641 1
Tm5 Tm 0.5000 0.1906 0.8094 1
Tm6 Tm 0.5000 0.1906 0.3811 1
In1 In 0.5000 0.8341 0.6682 1
In2 In 0.5000 0.3318 0.1659 1
In3 In 0.5000 0.8341 0.1659 1
In4 In 0.0000 0.3333 0.6667 1
```

Calculated volume = 321 Å³/cell
Space-group type = P-6m2, No. 187
Magnetic moment = 2.17 μB per formula unit
Energy of formation from the pure elements = -284 meV/atom

The following is a DFT calculation (PBE-GGA) of crystalline Ba2LiH4 at its relaxed geometry.

```
data_Ba2LiH4
_chemical_formula_sum 'Ba4 Li2 H8'
_cell_length_a 5.5377
_cell_length_b 6.0787
_cell_length_c 8.0968
_cell_angle_alpha 90.00
_cell_angle_beta 115.45
_cell_angle_gamma 90.00
_symmetry_space_group_name_H-M 'P 1'
_symmetry_Int_Tables_number 1
loop_
_symmetry_equiv_pos_as_xyz
'x,y,z'
loop_
_atom_site_label
_atom_site_type_symbol
_atom_site_fract_x
_atom_site_fract_y
_atom_site_fract_z
_atom_site_occupancy
Ba1 Ba 0.7174 0.7500 0.0152 1
Ba2 Ba 0.2826 0.2500 0.9848 1
Ba3 Ba 0.0640 0.2500 0.3926 1
Ba4 Ba 0.9360 0.7500 0.6074 1
Li1 Li 0.3573 0.7500 0.2368 1
Li2 Li 0.6427 0.2500 0.7632 1
H1 H 0.6159 0.5200 0.2799 1
H2 H 0.1923 0.7500 0.9776 1
H3 H 0.8077 0.2500 0.0224 1
H4 H 0.6159 0.9800 0.2799 1
H5 H 0.8714 0.2500 0.6513 1
H6 H 0.3841 0.0200 0.7201 1
H7 H 0.3841 0.4800 0.7201 1
H8 H 0.1286 0.7500 0.3487 1
```

Calculated volume = 246 Å³/cell
Space-group type = P2_1/m, No. 11
Magnetic moment = 0.30 μB per formula unit
Final energy = -3.083 eV per atom

The following is a DFT calculation (PBE-GGA) of crystalline SnSbRuO6 at its relaxed geometry.

```
data_SnSbRuO6
_chemical_formula_sum 'Sn2 Sb2 Ru2 O12'
_cell_length_a 4.7377
_cell_length_b 4.7377
_cell_length_c 9.6541
_cell_angle_alpha 90.00
_cell_angle_beta 90.00
_cell_angle_gamma 90.00
_symmetry_space_group_name_H-M 'P 1'
_symmetry_Int_Tables_number 1
loop_
_symmetry_equiv_pos_as_xyz
'x,y,z'
loop_
_atom_site_label
_atom_site_type_symbol
_atom_site_fract_x
_atom_site_fract_y
_atom_site_fract_z
_atom_site_occupancy
Sn1 Sn 0.5000 0.5000 0.4997 1
Sn2 Sn 0.0000 0.0000 0.9997 1
Sb1 Sb 0.5000 0.5000 0.8331 1
Sb2 Sb 0.0000 0.0000 0.3331 1
Ru1 Ru 0.5000 0.5000 0.1668 1
Ru2 Ru 0.0000 0.0000 0.6668 1
O1 O 0.1884 0.8116 0.4993 1
O2 O 0.8116 0.1884 0.4993 1
O3 O 0.3116 0.3116 0.9993 1
O4 O 0.6884 0.6884 0.9993 1
O5 O 0.1967 0.8033 0.1694 1
O6 O 0.8033 0.1967 0.1694 1
O7 O 0.3033 0.3033 0.6694 1
O8 O 0.6967 0.6967 0.6694 1
O9 O 0.8049 0.1951 0.8315 1
O10 O 0.1951 0.8049 0.8315 1
O11 O 0.6951 0.6951 0.3315 1
O12 O 0.3049 0.3049 0.3315 1
```

Calculated volume = 217 Å³/cell
Space-group type = P4_2nm, No. 102
Magnetic moment = 1.03 μB per formula unit
Final energy = -6.528 eV per atom

The following is a DFT calculation (PBE-GGA) of crystalline BaLaIn at its relaxed geometry.

```
data_BaLaIn
_chemical_formula_sum 'Ba2 La2 In2'
_cell_length_a 6.1711
_cell_length_b 4.9993
_cell_length_c 8.8959
_cell_angle_alpha 106.31
_cell_angle_beta 118.09
_cell_angle_gamma 66.12
_symmetry_space_group_name_H-M 'P 1'
_symmetry_Int_Tables_number 1
loop_
_symmetry_equiv_pos_as_xyz
'x,y,z'
loop_
_atom_site_label
_atom_site_type_symbol
_atom_site_fract_x
_atom_site_fract_y
_atom_site_fract_z
_atom_site_occupancy
La1 La 0.9152 0.9996 0.5497 1
La2 La 0.4750 0.2861 0.6833 1
Ba1 Ba 0.4221 0.9807 0.0198 1
Ba2 Ba 0.9683 0.3049 0.2133 1
In1 In 0.4668 0.6550 0.4126 1
In2 In 0.9235 0.6307 0.8206 1
```

Calculated volume = 220 Å³/cell
Space-group type = C2/m, No. 12
Magnetic moment = 0.00 μB per formula unit
Energy of formation from the pure elements = -271 meV/atom